Record 1
First-principles (GGA-PBE) data for a geometry-optimized ZrTlCu3Te4 structure, as listed in the Open Quantum Materials Database.

```
ZrTlCu3Te4
1.0
6.5985 0.0000 0.0000
0.0000 6.5985 0.0000
0.0000 0.0000 6.5985
Zr Tl Cu Te
1 1 3 4
Direct
0.0000 0.0000 0.0000
0.5000 0.5000 0.5000
0.0000 0.0000 0.5000
0.0000 0.5000 0.0000
0.5000 0.0000 0.0000
0.2346 0.2346 0.7654
0.2346 0.7654 0.2346
0.7654 0.2346 0.2346
0.7654 0.7654 0.7654
```

Calculated values
Distance to the lowest polymorph of the same formula ... 0.1098 eV per atom
Density ... 5.76 g/cm³

***

Record 2
First-principles (GGA-PBE) data for a geometry-optimized Er3Al3SiNi2 structure, as listed in the Open Quantum Materials Database.

```
Er3Al3SiNi2
1.0
7.8555 0.0000 0.0000
-3.9277 6.8031 0.0000
0.0000 0.0000 3.1183
Er Al Si Ni
3 3 1 2
Direct
0.0000 0.3023 0.0000
0.3023 0.0000 0.0000
0.6977 0.6977 0.0000
0.0000 0.6298 0.5000
0.3702 0.3702 0.5000
0.6298 0.0000 0.5000
0.0000 0.0000 0.5000
0.3333 0.6667 0.0000
0.6667 0.3333 0.0000
```

Calculated values
Distance to the lowest polymorph of the same formula ... 0.3648 eV per atom
Density ... 7.26 g/cm³

***

Which formula does entry 1 have?
ZrTlCu3Te4

***

Look up the density of the second one.
7.26 g/cm³